Entry 1:
Material: AlCuSi
Method: DFT, PBE-GGA
State: relaxed

Lattice parameters (Å, degrees): 5.9302 5.1360 6.0452 90.00 90.17 90.00
Last column: nearest neighbours and their distance in Å.
Space group P2/m (No. 10)
Asymmetric unit:
Al (0.0000, 0.2498, 0.0000)  2 Al 2.57, 4 Cu 2.57-2.58, 4 Si 2.63-2.66
Al (0.5000, 0.2496, 0.5000)  2 Al 2.56-2.57, 4 Cu 2.57-2.58, 4 Si 2.63-2.66
Cu (0.1645, 0.0000, 0.3334)  4 Al 2.57-2.58, 2 Si 2.58, 1 Cu 2.81
Cu (0.3346, 0.0000, 0.8329)  4 Al 2.57-2.58, 2 Si 2.58, 1 Cu 2.81
Si (0.1405, 0.5000, 0.3594)  1 Si 2.38, 2 Cu 2.58, 4 Al 2.63-2.66
Si (0.3598, 0.5000, 0.8593)  1 Si 2.37, 2 Cu 2.58, 4 Al 2.63-2.66

## Properties
formation energy (no corrections) = 102 meV per atom
total DFT energy (no corrections) = -4.319 eV/atom

***

Entry 2:
Material: Al4CuSi
Method: DFT, PBE-GGA
State: relaxed

Lattice parameters (Å, degrees): 7.3771 7.3771 7.3771 90.00 90.00 90.00
Last column: nearest neighbours and their distance in Å.
Space group F-43m (No. 216)
Asymmetric unit:
Al (0.1247, 0.1247, 0.1247)  6 Al 2.60-2.61
Cu (0.2500, 0.2500, 0.7500)  12 Al 3.06, 4 Si 3.19
Si (0.0000, 0.0000, 0.5000)  12 Al 3.06, 4 Cu 3.19

## Properties
formation energy (no corrections) = 364 meV per atom
total DFT energy (no corrections) = -3.718 eV/atom
E above lowest polymorph = 1.96 eV per formula unit

***

Entry 3:
Material: AlCuSi
Method: DFT, PBE-GGA
State: relaxed

Lattice parameters (Å, degrees): 4.6455 8.0120 4.7109 90.00 90.00 90.00
Last column: nearest neighbours and their distance in Å.
Space group Pbcm (No. 57)
Asymmetric unit:
Al (0.1285, 0.1377, 0.2500)  4 Si 2.65-2.87, 5 Cu 2.71-2.81
Cu (0.3673, 0.0400, 0.7500)  4 Si 2.45-2.61, 4 Al 2.71-2.74, 2 Cu 2.73
Si (0.3433, 0.7500, 0.0000)  2 Si 2.36, 4 Cu 2.45-2.61

## Properties
formation energy (no corrections) = 111 meV per atom
total DFT energy (no corrections) = -4.310 eV/atom

***

Entry 4:
Material: AlCu2Si4
Method: DFT, PBE-GGA
State: relaxed

Lattice parameters (Å, degrees): 3.8955 3.8955 9.6406 90.00 90.00 120.00
Last column: nearest neighbours and their distance in Å.
Space group P3m1 (No. 156)
Asymmetric unit:
Al (0.0000, 0.0000, 0.0000)  5 Si 2.45-2.64
Cu (0.3333, 0.6667, 0.6799)  6 Si 2.34-2.37
Cu (0.6667, 0.3333, 0.3639)  5 Si 2.29-2.41
Si (0.0000, 0.0000, 0.2735)  3 Cu 2.41, 1 Al 2.64, 3 Si 2.68
Si (0.0000, 0.0000, 0.7463)  3 Cu 2.34, 1 Al 2.45
Si (0.6667, 0.3333, 0.1230)  1 Cu 2.32, 3 Al 2.54
Si (0.6667, 0.3333, 0.6009)  4 Cu 2.29-2.37

## Properties
formation energy (no corrections) = 247 meV per atom
total DFT energy (no corrections) = -4.557 eV/atom
E above lowest polymorph = 0.55 eV per formula unit

***

Entry 5:
Material: AlCuSi2
Method: DFT, PBE-GGA
State: relaxed

Lattice parameters (Å, degrees): 2.5960 13.1321 7.7328 90.00 90.00 90.00
Last column: nearest neighbours and their distance in Å.
Space group Cmcm (No. 63)
Asymmetric unit:
Al (0.0000, 0.1710, 0.2500)  2 Cu 2.57, 2 Al 2.60, 4 Si 2.62
Cu (0.0000, 0.1600, 0.7500)  4 Si 2.45, 2 Al 2.57, 2 Cu 2.60
Si (0.0000, 0.4107, 0.0103)  3 Si 2.35-2.60, 2 Cu 2.45, 2 Al 2.62

## Properties
formation energy (no corrections) = 115 meV per atom
total DFT energy (no corrections) = -4.556 eV/atom

***

Entry 6:
Material: Al4Cu2Si
Method: DFT, PBE-GGA
State: relaxed

Lattice parameters (Å, degrees): 4.1371 4.1371 18.9043 90.00 90.00 120.00
Last column: nearest neighbours and their distance in Å.
Space group P6_3mc (No. 186)
Asymmetric unit:
Al (0.0000, 0.0000, 0.0000)  3 Cu 2.47, 1 Si 2.58
Al (0.0000, 0.0000, 0.2321)  1 Si 2.49, 3 Cu 2.51, 3 Al 2.73
Al (0.3333, 0.6667, 0.1624)  4 Cu 2.42-2.45
Al (0.3333, 0.6667, 0.9022)  1 Cu 2.50, 3 Si 2.50
Cu (0.3333, 0.6667, 0.0342)  5 Al 2.42-2.50
Cu (0.3333, 0.6667, 0.6915)  6 Al 2.45-2.51
Si (0.0000, 0.0000, 0.3637)  5 Al 2.49-2.58

## Properties
formation energy (no corrections) = 197 meV per atom
total DFT energy (no corrections) = -3.887 eV/atom
E above lowest polymorph = 1.21 eV per formula unit

***

Entry 7:
Material: Al8Cu2Si
Method: DFT, PBE-GGA
State: relaxed

Lattice parameters (Å, degrees): 3.9160 3.9160 11.4543 90.00 90.00 90.00
Last column: nearest neighbours and their distance in Å.
Space group P4/mmm (No. 123)
Asymmetric unit:
Al (0.0000, 0.0000, 0.1755)  8 Al 2.76-2.81, 4 Cu 2.77
Al (0.0000, 0.5000, 0.0000)  4 Cu 2.74, 8 Al 2.77-2.81
Al (0.0000, 0.5000, 0.3454)  2 Si 2.64, 6 Al 2.76-2.77, 2 Cu 2.82
Cu (0.5000, 0.5000, 0.1678)  12 Al 2.74-2.82
Si (0.5000, 0.5000, 0.5000)  8 Al 2.64

## Properties
formation energy (no corrections) = 22 meV per atom
total DFT energy (no corrections) = -3.938 eV/atom

***

Entry 8:
Material: AlCuSi2
Method: DFT, PBE-GGA
State: relaxed

Lattice parameters (Å, degrees): 3.9205 3.9205 7.4346 90.00 90.00 90.00
Last column: nearest neighbours and their distance in Å.
Space group I4/mmm (No. 139)
Asymmetric unit:
Al (0.0000, 0.0000, 0.0000)  8 Si 2.70, 4 Cu 2.77
Cu (0.0000, 0.0000, 0.5000)  8 Si 2.70, 4 Al 2.77
Si (0.0000, 0.5000, 0.2500)  4 Al 2.70, 4 Cu 2.70, 4 Si 2.77

## Properties
formation energy (no corrections) = 225 meV per atom
total DFT energy (no corrections) = -4.446 eV/atom

***

Entry 9:
Material: AlCuSi
Method: DFT, PBE-GGA
State: relaxed

Lattice parameters (Å, degrees): 6.6578 6.6578 7.0199 90.00 90.00 120.00
Last column: nearest neighbours and their distance in Å.
Space group P-62c (No. 190)
Asymmetric unit:
Al (0.0000, 0.0000, 0.2500)  6 Cu 2.48, 3 Si 2.55
Al (0.3333, 0.6667, 0.0378)  3 Cu 2.50, 6 Si 2.74-2.75
Cu (0.0000, 0.2631, 0.0000)  4 Al 2.48-2.50, 2 Si 2.74
Si (0.0408, 0.6393, 0.7500)  5 Al 2.55-2.75, 2 Cu 2.74

## Properties
formation energy (no corrections) = 208 meV per atom
total DFT energy (no corrections) = -4.213 eV/atom

***

Entry 10:
Material: AlCuSi4
Method: DFT, PBE-GGA
State: relaxed

Lattice parameters (Å, degrees): 7.1323 7.1323 7.1323 90.00 90.00 90.00
Last column: nearest neighbours and their distance in Å.
Space group F-43m (No. 216)
Asymmetric unit:
Al (0.0000, 0.0000, 0.0000)  12 Si 2.96, 4 Cu 3.09
Cu (0.2500, 0.2500, 0.7500)  12 Si 2.96, 4 Al 3.09
Si (0.1251, 0.1251, 0.3749)  6 Si 2.52

## Properties
formation energy (no corrections) = 470 meV per atom
total DFT energy (no corrections) = -4.452 eV/atom
E above lowest polymorph = 1.28 eV per formula unit

***

Entry 11:
Material: Al2CuSi3
Method: DFT, PBE-GGA
State: relaxed

Lattice parameters (Å, degrees): 5.1875 5.1875 7.7426 90.00 90.00 120.00
Last column: nearest neighbours and their distance in Å.
Space group P6_3/mmc (No. 194)
Asymmetric unit:
Al (0.3333, 0.6667, 0.0721)  1 Al 2.75, 9 Si 2.88-2.94, 3 Cu 3.05
Cu (0.0000, 0.0000, 0.0000)  6 Si 2.48
Si (0.1730, 0.3461, 0.7500)  2 Cu 2.48, 4 Si 2.49-2.69

## Properties
formation energy (no corrections) = 222 meV per atom
total DFT energy (no corrections) = -4.419 eV/atom
E above lowest polymorph = 0.14 eV per formula unit

***

Entry 12:
Material: AlCuSi
Method: DFT, PBE-GGA
State: relaxed

Lattice parameters (Å, degrees): 3.5537 11.6394 6.5015 90.00 90.00 90.00
Last column: nearest neighbours and their distance in Å.
Space group Amm2 (No. 38)
Asymmetric unit:
Al (0.0000, 0.0000, 0.0000)  6 Cu 2.61-2.86, 1 Si 2.64
Al (0.5000, 0.1475, 0.2844)  2 Cu 2.43, 2 Si 2.60
Cu (0.5000, 0.0000, 0.6557)  2 Si 2.40, 2 Cu 2.46
Cu (0.5000, 0.1560, 0.9108)  4 Al 2.43-2.61, 1 Cu 2.46, 2 Si 2.55
Si (0.0000, 0.0000, 0.4067)  2 Cu 2.40, 2 Si 2.53, 5 Al 2.60-2.64
Si (0.0000, 0.1774, 0.6320)  1 Si 2.53, 4 Cu 2.55-2.73

## Properties
formation energy (no corrections) = 141 meV per atom
total DFT energy (no corrections) = -4.279 eV/atom

***

Entry 13:
Material: Al3Cu3Si
Method: DFT, PBE-GGA
State: relaxed

Lattice parameters (Å, degrees): 6.9312 6.9312 4.7292 90.00 90.00 120.00
Last column: nearest neighbours and their distance in Å.
Space group P6_3/m (No. 176)
Asymmetric unit:
Al (0.0420, 0.2448, 0.2500)  5 Cu 2.56-2.76, 1 Si 2.59, 6 Al 2.72-2.84
Cu (0.0916, 0.4710, 0.7500)  5 Al 2.56-2.76, 3 Si 2.60-2.82, 4 Cu 2.67-2.81
Si (0.3333, 0.6667, 0.2500)  3 Al 2.59, 9 Cu 2.60-2.82

## Properties
formation energy (no corrections) = 15 meV per atom
total DFT energy (no corrections) = -4.119 eV/atom
E above lowest polymorph = 0.28 eV per formula unit

***

Entry 14:
Material: Al4CuSi
Method: DFT, PBE-GGA
State: relaxed

Lattice parameters (Å, degrees): 3.5352 3.5352 9.8516 90.00 90.00 120.00
Last column: nearest neighbours and their distance in Å.
Space group P-6m2 (No. 187)
Asymmetric unit:
Al (0.0000, 0.0000, 0.1493)  3 Cu 2.52
Al (0.3333, 0.6667, 0.3474)  3 Si 2.54, 3 Al 2.82
Cu (0.6667, 0.3333, 0.0000)  6 Al 2.52
Si (0.6667, 0.3333, 0.5000)  6 Al 2.54

## Properties
formation energy (no corrections) = 220 meV per atom
total DFT energy (no corrections) = -3.861 eV/atom
E above lowest polymorph = 1.10 eV per formula unit

***

Entry 15:
Material: AlCuSi2
Method: DFT, PBE-GGA
State: relaxed

Lattice parameters (Å, degrees): 3.8938 3.8938 9.5109 90.00 90.00 120.00
Last column: nearest neighbours and their distance in Å.
Space group P6_3/mmc (No. 194)
Asymmetric unit:
Al (0.3333, 0.6667, 0.2500)  6 Si 2.59
Cu (0.0000, 0.0000, 0.0000)  6 Si 2.50
Si (0.3333, 0.6667, 0.6148)  3 Cu 2.50, 1 Si 2.57, 3 Al 2.59

## Properties
formation energy (no corrections) = 210 meV per atom
total DFT energy (no corrections) = -4.461 eV/atom

***

Entry 16:
Material: AlCu2Si2
Method: DFT, PBE-GGA
State: relaxed

Lattice parameters (Å, degrees): 4.7831 8.1707 3.8354 90.00 90.00 90.00
Last column: nearest neighbours and their distance in Å.
Space group Pbam (No. 55)
Asymmetric unit:
Al (0.0000, 0.0000, 0.0000)  6 Si 2.59-2.85, 4 Cu 2.65
Cu (0.1683, 0.2015, 0.5000)  4 Si 2.44-2.45, 2 Cu 2.52, 2 Al 2.65
Si (0.0249, 0.6520, 0.0000)  4 Cu 2.44-2.45, 1 Si 2.49, 1 Al 2.59

## Properties
formation energy (no corrections) = 101 meV per atom
total DFT energy (no corrections) = -4.455 eV/atom

***

Entry 17:
Material: AlCu2Si
Method: DFT, PBE-GGA
State: relaxed

Lattice parameters (Å, degrees): 2.7770 2.7770 23.9687 90.00 90.00 120.00
Last column: nearest neighbours and their distance in Å.
Space group R-3m (No. 166, hexagonal axes)
Asymmetric unit:
Al (0.0000, 0.0000, 0.0000)  6 Cu 2.60, 6 Al 2.78
Cu (0.0000, 0.0000, 0.2479)  3 Si 2.52, 3 Al 2.60, 6 Cu 2.78
Si (0.0000, 0.0000, 0.5000)  6 Cu 2.52, 6 Si 2.78

## Properties
formation energy (no corrections) = -9 meV per atom
total DFT energy (no corrections) = -4.349 eV/atom

***

Entry 18:
Material: AlCu2Si
Method: DFT, PBE-GGA
State: relaxed

Lattice parameters (Å, degrees): 6.9139 6.9139 5.0319 90.00 90.00 90.00
Last column: nearest neighbours and their distance in Å.
Space group I-42d (No. 122)
Asymmetric unit:
Al (0.0000, 0.0000, 0.0000)  2 Si 2.52, 4 Cu 2.66
Cu (0.2218, 0.7500, 0.6250)  2 Si 2.39, 2 Cu 2.55, 2 Al 2.66
Si (0.0000, 0.0000, 0.5000)  4 Cu 2.39, 2 Al 2.52

## Properties
formation energy (no corrections) = 277 meV per atom
total DFT energy (no corrections) = -4.063 eV/atom

***

Entry 19:
Material: Al4CuSi
Method: DFT, PBE-GGA
State: relaxed

Lattice parameters (Å, degrees): 2.7986 15.9299 8.3311 90.00 90.00 90.00
Last column: nearest neighbours and their distance in Å.
Space group Cmcm (No. 63)
Asymmetric unit:
Al (0.0000, 0.0000, 0.0000)  8 Al 2.75-2.80
Al (0.0000, 0.1723, 0.0178)  3 Cu 2.60-2.65, 7 Al 2.75-2.87, 2 Si 2.79
Al (0.0000, 0.4278, 0.7500)  1 Cu 2.63, 10 Al 2.76-2.87
Cu (0.0000, 0.2625, 0.7500)  7 Al 2.60-2.65, 2 Si 2.73, 2 Cu 2.80
Si (0.0000, 0.3847, 0.2500)  2 Cu 2.73, 5 Al 2.79-2.99, 2 Si 2.80

## Properties
formation energy (no corrections) = 37 meV per atom
total DFT energy (no corrections) = -4.044 eV/atom
E above lowest polymorph = 0.00 eV per formula unit

***

Entry 20:
Material: AlCu2Si
Method: DFT, PBE-GGA
State: relaxed

Lattice parameters (Å, degrees): 5.3272 7.5465 2.6638 90.00 90.00 90.00
Last column: nearest neighbours and their distance in Å.
Space group Cmmm (No. 65)
Asymmetric unit:
Al (0.0000, 0.0000, 0.0000)  2 Si 2.66, 2 Al 2.66, 8 Cu 2.67
Cu (0.2500, 0.2500, 0.5000)  4 Cu 2.66, 4 Al 2.67, 4 Si 2.67
Si (0.0000, 0.5000, 0.0000)  2 Al 2.66, 2 Si 2.66, 8 Cu 2.67

## Properties
formation energy (no corrections) = 17 meV per atom
total DFT energy (no corrections) = -4.323 eV/atom

***

Entry 21:
Material: AlCu2Si
Method: DFT, PBE-GGA
State: relaxed

Lattice parameters (Å, degrees): 4.8457 3.8930 5.9676 90.00 90.00 90.00
Last column: nearest neighbours and their distance in Å.
Space group Pmma (No. 51)
Asymmetric unit:
Al (0.2500, 0.0000, 0.1706)  2 Cu 2.54, 3 Si 2.66-2.82
Cu (0.0000, 0.5000, 0.5000)  4 Cu 2.42-2.67, 4 Si 2.45
Cu (0.2500, 0.5000, 0.8982)  2 Si 2.47, 2 Al 2.54, 4 Cu 2.67-2.71
Si (0.2500, 0.0000, 0.6440)  6 Cu 2.45-2.47, 2 Al 2.66

## Properties
formation energy (no corrections) = 81 meV per atom
total DFT energy (no corrections) = -4.259 eV/atom

***

Entry 22:
Material: Al5CuSi
Method: DFT, PBE-GGA
State: relaxed

Lattice parameters (Å, degrees): 3.9018 3.9018 7.5849 90.00 90.00 90.00
Last column: nearest neighbours and their distance in Å.
Space group P4/mmm (No. 123)
Asymmetric unit:
Al (0.0000, 0.0000, 0.0000)  4 Cu 2.76, 8 Al 2.78
Al (0.0000, 0.5000, 0.2616)  2 Si 2.66, 6 Al 2.76-2.78, 2 Cu 2.78
Cu (0.5000, 0.5000, 0.0000)  12 Al 2.76-2.78
Si (0.5000, 0.5000, 0.5000)  8 Al 2.66

## Properties
formation energy (no corrections) = 42 meV per atom
total DFT energy (no corrections) = -3.991 eV/atom

***

Entry 23:
Material: AlCu2Si
Method: DFT, PBE-GGA
State: relaxed

Lattice parameters (Å, degrees): 6.0297 6.0297 6.0297 90.00 90.00 90.00
Last column: nearest neighbours and their distance in Å.
Space group F-43m (No. 216)
Asymmetric unit:
Al (0.0000, 0.0000, 0.0000)  4 Cu 2.61, 4 Si 2.61
Cu (0.0000, 0.0000, 0.5000)  4 Cu 2.61, 4 Si 2.61
Cu (0.2500, 0.2500, 0.7500)  4 Al 2.61, 4 Cu 2.61
Si (0.2500, 0.2500, 0.2500)  4 Al 2.61, 4 Cu 2.61

## Properties
formation energy (no corrections) = 155 meV per atom
total DFT energy (no corrections) = -4.184 eV/atom

***

Entry 24:
Material: AlCuSi2
Method: DFT, PBE-GGA
State: relaxed

Lattice parameters (Å, degrees): 8.8235 2.7706 4.7248 90.00 102.32 90.00
Last column: nearest neighbours and their distance in Å.
Space group C2/m (No. 12)
Asymmetric unit:
Al (0.0000, 0.0000, 0.0000)  6 Si 2.67-2.72, 4 Cu 2.74, 2 Al 2.77
Cu (0.0000, 0.5000, 0.5000)  6 Si 2.60-2.76, 4 Al 2.74, 2 Cu 2.77
Si (0.2418, 0.0000, 0.7417)  3 Cu 2.60-2.76, 3 Al 2.67-2.72, 6 Si 2.70-2.78

## Properties
formation energy (no corrections) = 168 meV per atom
total DFT energy (no corrections) = -4.503 eV/atom